i:
A relaxed structure of NiRh2Se. Source: Alexandria, functional PBE-GGA.

CIF file:
```
data_NiRh2Se
_cell_length_a 3.872
_cell_length_b 2.961
_cell_length_c 9.961
_cell_angle_alpha 90.00
_cell_angle_beta 90.00
_cell_angle_gamma 90.00
_space_group_name_H-M_alt 'A m m 2'
_space_group_IT_number 38
_space_group_name_Hall 'A 2 -2'
loop_
_atom_site_label
_atom_site_fract_x
_atom_site_fract_y
_atom_site_fract_z
Ni1 0.000 0.000 0.000
Rh1 0.000 0.000 0.260
Rh2 0.500 0.000 0.608
Se1 0.500 0.000 0.857
```

Values from the calculation:
- Total magnetic moment: 0.303 μB/atom

=====

ii:
A relaxed structure of NiRh2Se. Source: Alexandria, functional PBE-GGA.

CIF file:
```
data_NiRh2Se
_cell_length_a 6.119
_cell_length_b 6.119
_cell_length_c 6.119
_cell_angle_alpha 90.00
_cell_angle_beta 90.00
_cell_angle_gamma 90.00
_space_group_name_H-M_alt 'F -4 3 m'
_space_group_IT_number 216
_space_group_name_Hall 'F -4 2 3'
loop_
_atom_site_label
_atom_site_fract_x
_atom_site_fract_y
_atom_site_fract_z
Ni1 0.000 0.000 0.000
Rh1 0.000 0.000 0.500
Rh2 0.250 0.250 0.750
Se1 0.250 0.250 0.250
```

Values from the calculation:
- Total magnetic moment: 0.000 μB/atom

=====

Which structure is most stable? i, by 121 meV/atom over the runner-up.

=====

i:
A relaxed structure of NiRh2Se. Source: Alexandria, functional PBE-GGA.

CIF file:
```
data_NiRh2Se
_cell_length_a 2.953
_cell_length_b 3.701
_cell_length_c 5.277
_cell_angle_alpha 90.00
_cell_angle_beta 90.00
_cell_angle_gamma 90.00
_space_group_name_H-M_alt 'P m m 2'
_space_group_IT_number 25
_space_group_name_Hall 'P 2 -2'
loop_
_atom_site_label
_atom_site_fract_x
_atom_site_fract_y
_atom_site_fract_z
Ni1 0.000 0.000 0.000
Rh1 0.000 0.000 0.489
Rh2 0.500 0.500 0.190
Se1 0.500 0.500 0.699
```

Values from the calculation:
- Total magnetic moment: 0.340 μB/atom

=====

ii:
A relaxed structure of NiRh2Se. Source: Alexandria, functional PBE-GGA.

CIF file:
```
data_NiRh2Se
_cell_length_a 5.352
_cell_length_b 8.910
_cell_length_c 2.848
_cell_angle_alpha 90.00
_cell_angle_beta 121.80
_cell_angle_gamma 90.00
_space_group_name_H-M_alt 'C 1 2/m 1'
_space_group_IT_number 12
_space_group_name_Hall '-C 2y'
loop_
_atom_site_label
_atom_site_fract_x
_atom_site_fract_y
_atom_site_fract_z
Ni1 0.000 0.000 0.000
Rh1 0.250 0.250 0.500
Se1 0.000 0.500 0.000
```

Values from the calculation:
- Total magnetic moment: 0.000 μB/atom

=====

iii:
A relaxed structure of NiRh2Se. Source: Alexandria, functional PBE-GGA.

CIF file:
```
data_NiRh2Se
_cell_length_a 2.8966
_cell_length_b 2.8966
_cell_length_c 23.9455
_cell_angle_alpha 90.00
_cell_angle_beta 90.00
_cell_angle_gamma 120.00
_space_group_name_H-M_alt 'R -3 m'
_space_group_IT_number 166
_space_group_name_Hall '-R 3 2"'
loop_
_atom_site_label
_atom_site_fract_x
_atom_site_fract_y
_atom_site_fract_z
Ni1 0.0000 0.0000 0.0000
Rh1 0.0000 0.0000 0.2491
Se1 0.0000 0.0000 0.5000
```

Values from the calculation:
- Total magnetic moment: 0.256 μB/atom

=====

Which structure is most stable? i, by 64 meV/atom over the runner-up.

=====

i:
A relaxed structure of NiRh2Se6. Source: Alexandria, functional PBE-GGA.

CIF file:
```
data_NiRh2Se6
_cell_length_a 5.654
_cell_length_b 5.654
_cell_length_c 11.549
_cell_angle_alpha 90.00
_cell_angle_beta 90.00
_cell_angle_gamma 90.00
_space_group_name_H-M_alt 'P 42/m n m'
_space_group_IT_number 136
_space_group_name_Hall '-P 4n 2n'
loop_
_atom_site_label
_atom_site_fract_x
_atom_site_fract_y
_atom_site_fract_z
Ni1 0.000 0.000 0.000
Rh1 0.000 0.000 0.335
Se1 0.189 0.189 0.163
Se2 0.202 0.202 0.500
```

Values from the calculation:
- Total magnetic moment: 0.000 μB/atom

=====

ii:
A relaxed structure of NiRh2Se6. Source: Alexandria, functional PBE-GGA.

CIF file:
```
data_NiRh2Se6
_cell_length_a 10.9784
_cell_length_b 10.9784
_cell_length_c 5.0506
_cell_angle_alpha 90.00
_cell_angle_beta 90.00
_cell_angle_gamma 120.00
_space_group_name_H-M_alt 'P -3 m 1'
_space_group_IT_number 164
_space_group_name_Hall '-P 3 2"'
loop_
_atom_site_label
_atom_site_fract_x
_atom_site_fract_y
_atom_site_fract_z
Ni1 0.0000 0.0000 0.0000
Ni2 0.3333 0.6667 0.5130
Rh1 0.0000 0.3370 0.0000
Se1 0.0961 0.5481 0.2866
Se2 0.1093 0.2187 0.2505
Se3 0.2151 0.4301 0.7269
```

Values from the calculation:
- Total magnetic moment: 0.000 μB/atom

=====

Which structure is most stable? ii, by 168 meV/atom over the runner-up.

=====

i:
A relaxed structure of NiRh2Se4. Source: Alexandria, functional PBE-GGA.

CIF file:
```
data_NiRh2Se4
_cell_length_a 7.2483
_cell_length_b 7.2483
_cell_length_c 17.7597
_cell_angle_alpha 90.00
_cell_angle_beta 90.00
_cell_angle_gamma 120.00
_space_group_name_H-M_alt 'R -3 m'
_space_group_IT_number 166
_space_group_name_Hall '-R 3 2"'
loop_
_atom_site_label
_atom_site_fract_x
_atom_site_fract_y
_atom_site_fract_z
Ni1 0.0000 0.0000 0.1252
Rh1 0.0000 0.0000 0.5000
Rh2 0.0000 0.5000 0.0000
Se1 0.0000 0.0000 0.2555
Se2 0.0145 0.5073 0.2519
```

Values from the calculation:
- Total magnetic moment: 0.000 μB/atom

=====

ii:
A relaxed structure of NiRh2Se4. Source: Alexandria, functional PBE-GGA.

CIF file:
```
data_NiRh2Se4
_cell_length_a 12.301
_cell_length_b 3.718
_cell_length_c 6.410
_cell_angle_alpha 90.00
_cell_angle_beta 119.59
_cell_angle_gamma 90.00
_space_group_name_H-M_alt 'C 1 2/m 1'
_space_group_IT_number 12
_space_group_name_Hall '-C 2y'
loop_
_atom_site_label
_atom_site_fract_x
_atom_site_fract_y
_atom_site_fract_z
Ni1 0.000 0.000 0.000
Rh1 0.236 0.500 0.717
Se1 0.116 0.000 0.448
Se2 0.131 0.500 0.975
```

Values from the calculation:
- Total magnetic moment: 0.000 μB/atom

=====

Which structure is most stable? i, by 60 meV/atom over the runner-up.